No. 1
5
Lattice="5.256 0.000 0.000 0.000 5.256 0.000 0.000 0.000 5.563" Properties=species:S:1:pos:R:3 comment="NbAg2SnCl (GGA-PBE, optimized geometry)" space_group=P4/mmm raw_formation_energy_ev_per_atom=1.024 magnetic_moment_mub_per_fu=2.0 dft_energy_ev_per_fu=-16.5 pbc="T T T"
Nb 0.000 0.000 0.000
Ag 0.000 2.628 0.000
Ag 2.628 0.000 0.000
Sn 0.000 0.000 2.781
Cl 2.628 2.628 2.781

***

No. 2
4
Lattice="4.210 0.000 0.000 0.000 4.210 0.000 0.000 0.000 5.198" Properties=species:S:1:pos:R:3 comment="ReSb2Te (GGA-PBE, optimized geometry)" space_group=P4/mmm raw_formation_energy_ev_per_atom=1.043 magnetic_moment_mub_per_fu=0.5 dft_energy_ev_per_fu=-19.7 pbc="T T T"
Re 0.000 0.000 0.000
Sb 0.000 2.105 2.599
Sb 2.105 0.000 2.599
Te 2.105 2.105 0.000

***

No. 3
4
Lattice="1.653 0.954 11.507 -1.653 0.954 11.507 0.000 -1.908 11.507" Properties=species:S:1:pos:R:3 comment="CeYMg2 (GGA-PBE, optimized geometry)" space_group=R3m polymorph_energy_ev_per_atom=0.093 magnetic_moment_mub_per_fu=0.8 dft_energy_ev_per_fu=-15.3 pbc="T T T"
Ce 0.000 0.000 0.000
Y 0.000 0.000 28.727
Mg 0.000 0.000 14.396
Mg 0.000 0.000 20.083